# 1
Entry from the Alexandria database: an optimized crystal structure of ZrInMo2 (PBEsol).

Values from the calculation:
Energy relative to the elements in meV/atom: 181

Cell and atoms, written as CIF:
```
data_ZrInMo2
_chemical_formula_sum 'Zr2 In2 Mo4'
_space_group_name_H-M_alt 'I m m m'
_space_group_IT_number 71
_space_group_name_Hall '-I 2 2'
_cell_length_a 3.4315
_cell_length_b 4.5571
_cell_length_c 9.1499
_cell_angle_alpha 90.00
_cell_angle_beta 90.00
_cell_angle_gamma 90.00
loop_
_atom_site_label
_atom_site_fract_x
_atom_site_fract_y
_atom_site_fract_z
Zr1 0.0000 0.0000 0.0000
In1 0.0000 0.0000 0.5000
Mo1 0.0000 0.5000 0.2567
```

=====

# 2
Entry from the Alexandria database: an optimized crystal structure of LaYCoSi2 (PBEsol).

Values from the calculation:
E_form (uncorrected) in eV/atom: 1.46

Cell and atoms, written as CIF:
```
data_LaYCoSi2
_chemical_formula_sum 'La1 Y1 Co1 Si2'
_space_group_name_H-M_alt 'P 4/m m m'
_space_group_IT_number 123
_space_group_name_Hall '-P 4 2'
_cell_length_a 5.1302
_cell_length_b 5.1302
_cell_length_c 5.4493
_cell_angle_alpha 90.00
_cell_angle_beta 90.00
_cell_angle_gamma 90.00
loop_
_atom_site_label
_atom_site_fract_x
_atom_site_fract_y
_atom_site_fract_z
La1 0.0000 0.0000 0.0000
Y1 0.0000 0.0000 0.5000
Co1 0.5000 0.5000 0.0000
Si1 0.0000 0.5000 0.5000
```

=====

# 3
Entry from the Alexandria database: an optimized crystal structure of NbCl5 (PBEsol).

Values from the calculation:
E_form (uncorrected) in eV/atom: -1.20

Cell and atoms, written as CIF:
```
data_NbCl5
_chemical_formula_sum 'Nb12 Cl60'
_space_group_name_H-M_alt 'C 1 2/m 1'
_space_group_IT_number 12
_cell_length_a 18.6968
_cell_length_b 18.0560
_cell_length_c 5.9372
_cell_angle_alpha 90.00
_cell_angle_beta 90.62
_cell_angle_gamma 90.00
loop_
_space_group_symop_operation_xyz
'x,y,z'
'-x,-y,-z'
'-x,y,-z'
'x,-y,z'
'x+1/2,y+1/2,z'
'-x+1/2,-y+1/2,-z'
'-x+1/2,y+1/2,-z'
'x+1/2,-y+1/2,z'
loop_
_atom_site_label
_atom_site_fract_x
_atom_site_fract_y
_atom_site_fract_z
Nb1 0.0000 0.1095 0.0000
Nb2 0.1668 0.3904 0.4761
Cl1 0.0511 0.0000 0.2208
Cl2 0.0558 0.1880 0.2435
Cl3 0.0677 0.4037 0.2427
Cl4 0.0994 0.0961 0.7743
Cl5 0.1107 0.3121 0.7161
Cl6 0.1155 0.5000 0.6927
Cl7 0.2181 0.5000 0.2594
Cl8 0.2228 0.3117 0.2373
Cl9 0.2339 0.0961 0.2907
```

=====

# 4
Entry from the Alexandria database: an optimized crystal structure of ScTc2 (PBEsol).

Values from the calculation:
Excess energy over the best structure of this formula in the dataset in eV/f.u.: 0.000
Energy relative to the elements in meV/atom: -277

Cell and atoms, written as CIF:
```
data_ScTc2
_chemical_formula_sum 'Sc4 Tc8'
_space_group_name_H-M_alt 'P 63/m m c'
_space_group_IT_number 194
_space_group_name_Hall '-P 6c 2c'
_cell_length_a 5.1704
_cell_length_b 5.1704
_cell_length_c 8.4838
_cell_angle_alpha 90.00
_cell_angle_beta 90.00
_cell_angle_gamma 120.00
loop_
_atom_site_label
_atom_site_fract_x
_atom_site_fract_y
_atom_site_fract_z
Sc1 0.3333 0.6667 0.0631
Tc1 0.0000 0.0000 0.0000
Tc2 0.1721 0.3441 0.7500
```

=====

# 5
Entry from the Alexandria database: an optimized crystal structure of Tb3InS6 (PBEsol).

Values from the calculation:
E_form (uncorrected) in eV/atom: -1.76

Cell and atoms, written as CIF:
```
data_Tb3InS6
_chemical_formula_sum 'Tb12 In4 S24'
_space_group_name_H-M_alt 'P n n m'
_space_group_IT_number 58
_cell_length_a 13.3166
_cell_length_b 16.3392
_cell_length_c 3.8120
_cell_angle_alpha 90.00
_cell_angle_beta 90.00
_cell_angle_gamma 90.00
loop_
_space_group_symop_operation_xyz
'x,y,z'
'-x,-y,-z'
'-x,-y,z'
'x,y,-z'
'x+1/2,-y+1/2,-z+1/2'
'-x+1/2,y+1/2,z+1/2'
'-x+1/2,y+1/2,-z+1/2'
'x+1/2,-y+1/2,z+1/2'
loop_
_atom_site_label
_atom_site_fract_x
_atom_site_fract_y
_atom_site_fract_z
Tb1 0.0403 0.2244 0.0000
Tb2 0.1888 0.6461 0.0000
Tb3 0.2495 0.8935 0.5000
In1 0.0000 0.0000 0.5000
In2 0.0000 0.5000 0.5000
S1 0.0221 0.3947 0.0000
S2 0.0960 0.9122 0.0000
S3 0.1122 0.1179 0.5000
S4 0.1124 0.7472 0.5000
S5 0.1816 0.2861 0.5000
S6 0.1939 0.5203 0.5000
```

=====

# 6
Entry from the Alexandria database: an optimized crystal structure of SbPtPb2 (PBEsol).

Values from the calculation:
E_form (uncorrected) in eV/atom: -0.07

Cell and atoms, written as CIF:
```
data_SbPtPb2
_chemical_formula_sum 'Sb1 Pt1 Pb2'
_space_group_name_H-M_alt 'P 1 m 1'
_space_group_IT_number 6
_cell_length_a 4.2681
_cell_length_b 3.9224
_cell_length_c 6.3949
_cell_angle_alpha 90.00
_cell_angle_beta 109.34
_cell_angle_gamma 90.00
loop_
_space_group_symop_operation_xyz
'x,y,z'
'x,-y,z'
loop_
_atom_site_label
_atom_site_fract_x
_atom_site_fract_y
_atom_site_fract_z
Sb1 0.0000 0.0000 0.0000
Pt1 0.8449 0.5000 0.6946
Pb1 0.2861 0.0000 0.5749
Pb2 0.6108 0.5000 0.2229
```

=====

# 7
Entry from the Alexandria database: an optimized crystal structure of CsAg2As2 (PBEsol).

Values from the calculation:
Energy relative to the elements in meV/atom: 0

Cell and atoms, written as CIF:
```
data_CsAg2As2
_chemical_formula_sum 'Cs2 Ag4 As4'
_space_group_name_H-M_alt 'I 4/m m m'
_space_group_IT_number 139
_space_group_name_Hall '-I 4 2'
_cell_length_a 4.9179
_cell_length_b 4.9179
_cell_length_c 11.7907
_cell_angle_alpha 90.00
_cell_angle_beta 90.00
_cell_angle_gamma 90.00
loop_
_atom_site_label
_atom_site_fract_x
_atom_site_fract_y
_atom_site_fract_z
Cs1 0.0000 0.0000 0.0000
Ag1 0.0000 0.0000 0.3194
As1 0.0000 0.5000 0.2500
```

=====

# 8
Entry from the Alexandria database: an optimized crystal structure of ZnCo2W (PBEsol).

Values from the calculation:
Energy relative to the elements in meV/atom: -18

Cell and atoms, written as CIF:
```
data_ZnCo2W
_chemical_formula_sum 'Zn2 Co4 W2'
_space_group_name_H-M_alt 'I 4/m m m'
_space_group_IT_number 139
_space_group_name_Hall '-I 4 2'
_cell_length_a 3.7518
_cell_length_b 3.7518
_cell_length_c 6.7700
_cell_angle_alpha 90.00
_cell_angle_beta 90.00
_cell_angle_gamma 90.00
loop_
_atom_site_label
_atom_site_fract_x
_atom_site_fract_y
_atom_site_fract_z
Zn1 0.0000 0.0000 0.0000
Co1 0.0000 0.5000 0.2500
W1 0.0000 0.0000 0.5000
```